(1)
The following is a PBE calculation of crystalline CeDyTm2N4 at its relaxed geometry, from Alexandria.

abc: 3.4626 5.9859 5.9875
angles: 109.30 90.00 90.00
Last column: nearest neighbours and their distance in Å.
Sites, in units of the cell vectors:
Ce (0.5000, 0.5000, 0.0000)  6 N 2.44-2.47
Dy (0.0000, 0.0000, 0.0000)  6 N 2.46-2.47
Tm (0.5000, 0.0000, 0.5000)  6 N 2.43-2.44
Tm (0.0000, 0.5000, 0.5000)  6 N 2.42-2.43
N (0.5000, 0.2531, 0.2535)  3 Tm 2.43-2.44, 1 Ce 2.44, 2 Dy 2.47
N (0.5000, 0.7469, 0.7465)  3 Tm 2.43-2.44, 1 Ce 2.44, 2 Dy 2.47
N (0.0000, 0.2477, 0.7440)  3 Tm 2.42-2.43, 1 Dy 2.46, 2 Ce 2.47
N (0.0000, 0.7523, 0.2560)  3 Tm 2.42-2.43, 1 Dy 2.46, 2 Ce 2.47

Summary:
Formation energy (no corrections), eV per atom: -1.70
Total magnetization, Bohr magnetons per cell: 0.2
Crystal system: monoclinic

(2)
The following is a PBE calculation of crystalline Ce3Dy2UN6 at its relaxed geometry, from Alexandria.

abc: 6.0355 6.0355 6.1360
angles: 99.45 99.45 119.95
Last column: nearest neighbours and their distance in Å.
Sites, in units of the cell vectors:
Ce (0.1685, 0.8315, 0.5000)  6 N 2.51-2.64
Ce (0.8315, 0.1685, 0.5000)  6 N 2.51-2.64
Ce (0.5000, 0.5000, 0.5000)  6 N 2.51-2.65
Dy (0.3335, 0.6665, 0.0000)  6 N 2.46-2.47
Dy (0.6665, 0.3335, 0.0000)  6 N 2.46-2.47
U (0.0000, 0.0000, 0.0000)  6 N 2.30-2.31
N (0.9235, 0.6115, 0.7715)  1 U 2.30, 2 Dy 2.46-2.47, 2 Ce 2.51
N (0.7646, 0.7646, 0.2312)  1 U 2.31, 2 Dy 2.47, 2 Ce 2.51
N (0.0765, 0.3885, 0.2285)  1 U 2.30, 2 Dy 2.46-2.47, 2 Ce 2.51
N (0.6115, 0.9235, 0.7715)  1 U 2.30, 2 Dy 2.46-2.47, 2 Ce 2.51
N (0.2354, 0.2354, 0.7688)  1 U 2.31, 2 Dy 2.47, 2 Ce 2.51
N (0.3885, 0.0765, 0.2285)  1 U 2.30, 2 Dy 2.46-2.47, 2 Ce 2.51

Summary:
Formation energy (no corrections), eV per atom: -1.56
Total magnetization, Bohr magnetons per cell: 0.0
Crystal system: monoclinic

(3)
The following is a PBE calculation of crystalline Ce2Dy3UN6 at its relaxed geometry, from Alexandria.

abc: 6.0521 6.0521 6.0409
angles: 99.60 99.60 119.97
Last column: nearest neighbours and their distance in Å.
Sites, in units of the cell vectors:
Ce (0.3336, 0.6664, 0.0000)  6 N 2.50
Ce (0.6664, 0.3336, 0.0000)  6 N 2.50
Dy (0.1674, 0.8326, 0.5000)  6 N 2.45-2.59
Dy (0.8326, 0.1674, 0.5000)  6 N 2.45-2.59
Dy (0.5000, 0.5000, 0.5000)  6 N 2.44-2.60
U (0.0000, 0.0000, 0.0000)  6 N 2.34-2.35
N (0.9188, 0.6060, 0.7569)  1 U 2.35, 3 Dy 2.44-2.59, 2 Ce 2.50
N (0.7687, 0.7687, 0.2418)  1 U 2.34, 3 Dy 2.45-2.60, 2 Ce 2.50
N (0.0812, 0.3940, 0.2431)  1 U 2.35, 3 Dy 2.44-2.59, 2 Ce 2.50
N (0.6060, 0.9188, 0.7569)  1 U 2.35, 3 Dy 2.44-2.59, 2 Ce 2.50
N (0.2313, 0.2313, 0.7582)  1 U 2.34, 3 Dy 2.45-2.60, 2 Ce 2.50
N (0.3940, 0.0812, 0.2431)  1 U 2.35, 3 Dy 2.44-2.59, 2 Ce 2.50

Summary:
Formation energy (no corrections), eV per atom: -1.58
Total magnetization, Bohr magnetons per cell: 0.0
Crystal system: monoclinic

(4)
The following is a PBE calculation of crystalline Ce3Dy3WN8 at its relaxed geometry, from Alexandria.

abc: 6.8999 6.9000 6.8522
angles: 120.23 90.00 120.00
Last column: nearest neighbours and their distance in Å.
Sites, in units of the cell vectors:
Ce (0.5000, 0.0000, 0.5000)  6 N 2.45
Ce (0.5000, 0.5000, 0.5000)  6 N 2.45
Ce (0.0000, 0.5000, 0.5000)  6 N 2.45
Dy (0.0000, 0.0000, 0.0000)  6 N 2.41-2.46
Dy (0.0000, 0.5000, 0.0000)  6 N 2.41-2.46
Dy (0.5000, 0.5000, 0.0000)  6 N 2.41-2.46
W (0.0000, 0.0000, 0.5000)  6 N 2.11
N (0.2478, 0.4956, 0.2435)  3 Dy 2.41, 3 Ce 2.45
N (0.7522, 0.5044, 0.7565)  3 Dy 2.41, 3 Ce 2.45
N (0.7833, 0.5666, 0.2844)  1 W 2.11
N (0.2167, 0.4334, 0.7156)  1 W 2.11
N (0.7833, 0.0011, 0.2844)  1 W 2.11
N (0.2167, 0.9989, 0.7156)  1 W 2.11
N (0.2179, 0.0011, 0.2844)  1 W 2.11
N (0.7821, 0.9989, 0.7156)  1 W 2.11

Summary:
Formation energy (no corrections), eV per atom: -1.33
Total magnetization, Bohr magnetons per cell: 0.9
Crystal system: trigonal

(5)
The following is a PBE calculation of crystalline CeDyYN3 at its relaxed geometry, from Alexandria.

abc: 3.4659 6.0192 9.0974
angles: 101.63 90.00 90.00
Last column: nearest neighbours and their distance in Å.
Sites, in units of the cell vectors:
Ce (0.7500, 0.6555, 0.6958)  7 N 2.53-2.68
Ce (0.2500, 0.3445, 0.3042)  7 N 2.53-2.68
Dy (0.2500, 0.1455, 0.6383)  5 N 2.30-2.50
Dy (0.7500, 0.8545, 0.3617)  5 N 2.30-2.50
Y (0.2500, 0.7698, 0.0455)  6 N 2.35-2.62
Y (0.7500, 0.2302, 0.9545)  6 N 2.35-2.62
N (0.2500, 0.7428, 0.4999)  3 Dy 2.32-2.50
N (0.7500, 0.0406, 0.1570)  3 Y 2.35-2.45, 1 Dy 2.36
N (0.7500, 0.5389, 0.1712)  1 Dy 2.30, 1 Y 2.42, 2 Ce 2.53
N (0.7500, 0.2572, 0.5001)  3 Dy 2.32-2.50
N (0.2500, 0.4611, 0.8288)  1 Dy 2.30, 1 Y 2.42, 2 Ce 2.53
N (0.2500, 0.9594, 0.8430)  3 Y 2.35-2.45, 1 Dy 2.36

Summary:
Formation energy (no corrections), eV per atom: -1.41
Total magnetization, Bohr magnetons per cell: 1.8
Crystal system: monoclinic

(6)
The following is a PBE calculation of crystalline Ce3Dy2YN6 at its relaxed geometry, from Alexandria.

abc: 6.0980 6.0980 6.1025
angles: 99.59 99.59 120.00
Last column: nearest neighbours and their distance in Å.
Sites, in units of the cell vectors:
Ce (0.1667, 0.8333, 0.5000)  6 N 2.49-2.50
Ce (0.8333, 0.1667, 0.5000)  6 N 2.49-2.50
Ce (0.5000, 0.5000, 0.5000)  6 N 2.49-2.50
Dy (0.3333, 0.6667, 0.0000)  6 N 2.48
Dy (0.6667, 0.3333, 0.0000)  6 N 2.48
Y (0.0000, 0.0000, 0.0000)  6 N 2.49
N (0.9171, 0.5831, 0.7513)  2 Dy 2.48, 1 Y 2.49, 3 Ce 2.49-2.50
N (0.7490, 0.7490, 0.2486)  2 Dy 2.48, 1 Y 2.49, 3 Ce 2.49-2.50
N (0.0829, 0.4169, 0.2487)  2 Dy 2.48, 1 Y 2.49, 3 Ce 2.49-2.50
N (0.5831, 0.9171, 0.7513)  2 Dy 2.48, 1 Y 2.49, 3 Ce 2.49-2.50
N (0.2510, 0.2510, 0.7514)  2 Dy 2.48, 1 Y 2.49, 3 Ce 2.49-2.50
N (0.4169, 0.0829, 0.2487)  2 Dy 2.48, 1 Y 2.49, 3 Ce 2.49-2.50

Summary:
Formation energy (no corrections), eV per atom: -1.59
Total magnetization, Bohr magnetons per cell: 0.8
Crystal system: monoclinic